## w
Computed, not measured: an optimized crystal structure of NaLi2Hf2 at the PBE-GGA level of DFT.

Calculated values
**Mass density**: 5.69 g/cm3
**Crystal system**: tetragonal
**Total moment**: 0.00 Bohr magnetons per cell

Structure (POSCAR):
```
NaLi2Hf2
1.0
-5.804 -1.324 -6.689
6.145 -4.821 -4.378
-0.945 -2.377 1.291
Hf Li Na
4 4 2
Cartesian
-1.977 -2.260 -2.429
2.640 -4.318 -2.839
1.372 -6.263 -7.348
-3.244 -4.204 -6.938
3.183 -4.398 -5.769
0.963 -1.793 -2.597
-2.842 -1.747 -5.298
-0.622 -4.352 -8.470
0.000 0.000 0.000
0.170 -3.073 -5.534
```



## x
Computed, not measured: an optimized crystal structure of NaLi2Hf2 at the PBE-GGA level of DFT.

Calculated values
**Mass density**: 5.39 g/cm3
**Crystal system**: tetragonal
**Total moment**: 0.00 Bohr magnetons per cell

Structure (POSCAR):
```
NaLi2Hf2
1.0
-3.230 1.142 -2.152
-1.320 -3.824 -0.047
-6.026 -0.124 5.178
Hf Li Na
2 2 1
Cartesian
-4.811 -2.644 2.015
-5.766 -0.162 0.963
-7.576 -1.701 2.864
-3.001 -1.106 0.115
0.000 0.000 0.000
```



Most stable to least stable: x, w



## w
Computed, not measured: an optimized crystal structure of LiHfNb at the PBE-GGA level of DFT.

Calculated values
**Mass density**: 7.76 g/cm3
**Crystal system**: monoclinic
**Total moment**: 0.00 Bohr magnetons per cell

Structure (POSCAR):
```
LiHfNb
1.0
-1.260 -2.532 0.879
4.188 -1.917 0.481
0.516 3.159 8.093
Hf Nb Li
2 2 2
Cartesian
0.538 -0.936 2.730
2.906 -0.353 6.723
0.216 -0.922 5.587
3.228 -0.368 3.866
2.075 -3.405 1.797
1.368 2.115 7.657
```



## x
Computed, not measured: an optimized crystal structure of LiHfNb at the PBE-GGA level of DFT.

Calculated values
**Mass density**: 7.72 g/cm3
**Crystal system**: orthorhombic
**Total moment**: 0.00 Bohr magnetons per cell

Structure (POSCAR):
```
LiHfNb
1.0
4.441 0.000 0.000
0.000 3.628 0.000
0.000 0.000 14.854
Nb Hf Li
4 4 4
Cartesian
0.000 1.814 7.073
2.221 0.000 7.073
2.221 1.814 14.500
0.000 0.000 14.500
2.221 0.000 12.247
2.221 1.814 4.820
0.000 0.000 4.820
0.000 1.814 12.247
0.000 1.814 2.154
2.221 1.814 9.581
2.221 0.000 2.154
0.000 0.000 9.581
```



## y
Computed, not measured: an optimized crystal structure of LiHfNb at the PBE-GGA level of DFT.

Calculated values
**Mass density**: 7.75 g/cm3
**Crystal system**: orthorhombic
**Total moment**: 0.00 Bohr magnetons per cell

Structure (POSCAR):
```
LiHfNb
1.0
3.001 0.000 0.000
0.000 15.927 0.000
0.000 0.000 4.989
Nb Li Hf
4 4 4
Cartesian
1.500 9.315 4.815
0.000 1.351 4.815
0.000 14.576 2.321
1.500 6.612 2.321
0.000 3.970 1.751
0.000 11.957 4.245
1.500 11.934 1.751
1.500 3.993 4.245
1.500 1.223 2.324
0.000 6.740 4.819
0.000 9.187 2.324
1.500 14.704 4.819
```



## z
Computed, not measured: an optimized crystal structure of LiHfNb at the PBE-GGA level of DFT.

Calculated values
**Mass density**: 7.76 g/cm3
**Crystal system**: tetragonal
**Total moment**: 0.00 Bohr magnetons per cell

Structure (POSCAR):
```
LiHfNb
1.0
3.342 0.000 0.000
0.000 3.342 0.000
0.000 0.000 10.671
Hf Nb Li
2 2 2
Cartesian
0.000 1.671 2.496
1.671 0.000 8.175
0.000 1.671 9.880
1.671 0.000 0.791
1.671 0.000 4.585
0.000 1.671 6.086
```



Most stable to least stable: z, w, y, x



## w
Computed, not measured: an optimized crystal structure of LiHfNb at the PBE-GGA level of DFT.

Calculated values
**Mass density**: 8.52 g/cm3
**Crystal system**: monoclinic
**Total moment**: 0.00 Bohr magnetons per cell

Structure (POSCAR):
```
LiHfNb
1.0
5.532 0.000 -0.006
0.000 4.834 0.000
-5.332 0.000 8.122
Nb Hf Li
4 4 4
Cartesian
1.403 0.000 4.315
-1.204 0.000 3.801
-3.870 2.417 7.862
4.070 2.417 0.254
2.446 0.000 1.454
-2.247 0.000 6.662
-0.220 2.417 5.515
0.419 2.417 2.601
0.482 0.000 7.024
3.149 2.417 2.962
-0.283 0.000 1.093
-2.949 2.417 5.154
```



## x
Computed, not measured: an optimized crystal structure of LiHfNb at the PBE-GGA level of DFT.

Calculated values
**Mass density**: 7.76 g/cm3
**Crystal system**: monoclinic
**Total moment**: 0.00 Bohr magnetons per cell

Structure (POSCAR):
```
LiHfNb
1.0
-5.078 -1.726 6.122
0.345 -3.131 -0.597
4.496 0.166 1.729
Nb Li Hf
2 2 2
Cartesian
3.670 -1.504 1.404
1.249 -0.022 0.838
-2.673 -2.762 4.333
-0.598 -1.113 5.496
0.599 -2.097 2.735
2.675 -0.448 3.898
```



## y
Computed, not measured: an optimized crystal structure of LiHfNb at the PBE-GGA level of DFT.

Calculated values
**Mass density**: 7.69 g/cm3
**Crystal system**: triclinic
**Total moment**: 0.00 Bohr magnetons per cell

Structure (POSCAR):
```
LiHfNb
1.0
2.947 0.008 0.002
1.329 5.490 -0.002
1.214 1.252 7.434
Nb Hf Li
2 2 2
Cartesian
4.524 5.480 2.622
0.966 1.271 4.812
3.425 4.112 4.894
2.065 2.638 2.539
2.146 2.544 7.384
3.344 4.207 0.050
```



## z
Computed, not measured: an optimized crystal structure of LiHfNb at the PBE-GGA level of DFT.

Calculated values
**Mass density**: 8.01 g/cm3
**Crystal system**: monoclinic
**Total moment**: 0.00 Bohr magnetons per cell

Structure (POSCAR):
```
LiHfNb
1.0
6.581 0.000 -0.011
0.000 3.212 0.000
-2.313 0.000 10.917
Nb Li Hf
4 4 4
Cartesian
2.165 1.606 7.286
3.321 0.000 1.828
0.947 0.000 9.078
2.103 1.606 3.619
0.168 0.000 2.036
4.100 0.000 8.869
-0.988 1.606 7.494
5.256 1.606 3.411
0.528 0.000 5.426
4.897 1.606 0.021
3.740 0.000 5.479
-0.629 1.606 10.885
```



Most stable to least stable: y, z, x, w



## w
Computed, not measured: an optimized crystal structure of LiHf3Nb at the PBE-GGA level of DFT.

Calculated values
**Mass density**: 7.76 g/cm3
**Crystal system**: cubic
**Total moment**: 0.00 Bohr magnetons per cell

Structure (POSCAR):
```
LiHf3Nb
1.0
5.142 0.000 0.000
0.000 5.142 0.000
0.000 0.000 5.142
Hf Li Nb
3 1 1
Cartesian
2.571 0.000 0.000
0.000 2.571 0.000
0.000 0.000 2.571
2.571 2.571 2.571
0.000 0.000 0.000
```



## x
Computed, not measured: an optimized crystal structure of LiHf3Nb at the PBE-GGA level of DFT.

Calculated values
**Mass density**: 10.40 g/cm3
**Crystal system**: cubic
**Total moment**: 0.26 Bohr magnetons per cell

Structure (POSCAR):
```
LiHf3Nb
1.0
-4.004 -1.977 1.342
0.803 -3.580 -2.879
2.251 -2.241 3.414
Li Nb Hf
1 1 3
Cartesian
0.000 0.000 0.000
-0.475 -3.899 0.939
0.401 -1.790 -1.439
1.126 -1.120 1.707
-2.002 -0.989 0.671
```



Most stable to least stable: x, w



## w
Computed, not measured: an optimized crystal structure of LiHfNb2P at the PBE-GGA level of DFT.

Calculated values
**Mass density**: 5.39 g/cm3
**Crystal system**: tetragonal
**Total moment**: 0.00 Bohr magnetons per cell

Structure (POSCAR):
```
LiHfNb2P
1.0
5.009 0.000 0.000
0.000 4.937 0.000
0.000 0.000 5.009
Hf Li P Nb
1 1 1 2
Cartesian
0.000 0.000 0.000
2.504 2.468 2.504
0.000 2.468 0.000
2.504 0.000 0.000
0.000 0.000 2.504
```



## x
Computed, not measured: an optimized crystal structure of LiHfNb2P at the PBE-GGA level of DFT.

Calculated values
**Mass density**: 5.94 g/cm3
**Crystal system**: tetragonal
**Total moment**: 0.00 Bohr magnetons per cell

Structure (POSCAR):
```
LiHfNb2P
1.0
4.900 0.000 0.000
0.000 4.681 0.000
0.000 0.000 4.900
Li Nb Hf P
1 2 1 1
Cartesian
0.000 2.340 0.000
2.450 0.000 0.000
0.000 0.000 2.450
0.000 0.000 0.000
2.450 2.340 2.450
```



Most stable to least stable: w, x



## w
Computed, not measured: an optimized crystal structure of Li2HfNi at the PBE-GGA level of DFT.

Calculated values
**Mass density**: 7.37 g/cm3
**Crystal system**: cubic
**Total moment**: 0.00 Bohr magnetons per cell

Structure (POSCAR):
```
Li2HfNi
1.0
1.914 0.490 3.829
2.391 3.498 0.781
-1.412 3.005 2.745
Hf Li Ni
1 2 1
Cartesian
1.447 3.496 3.678
0.723 1.748 1.839
2.170 5.245 5.517
0.000 0.000 0.000
```



## x
Computed, not measured: an optimized crystal structure of Li2HfNi at the PBE-GGA level of DFT.

Calculated values
**Mass density**: 6.35 g/cm3
**Crystal system**: tetragonal
**Total moment**: 0.00 Bohr magnetons per cell

Structure (POSCAR):
```
Li2HfNi
1.0
3.601 0.000 0.000
0.000 3.601 0.000
1.801 1.801 10.128
Li Hf Ni
4 2 2
Cartesian
2.558 0.900 2.532
1.043 2.701 2.532
4.502 4.359 7.596
2.701 2.844 7.596
3.601 1.801 5.064
0.000 0.000 0.000
1.801 1.801 0.000
1.801 3.601 5.064
```



Most stable to least stable: x, w



## w
Computed, not measured: an optimized crystal structure of Li5HfO4 at the PBE-GGA level of DFT.

Calculated values
**Mass density**: 3.86 g/cm3
**Crystal system**: monoclinic
**Total moment**: 0.00 Bohr magnetons per cell

Structure (POSCAR):
```
Li5HfO4
1.0
-2.444 1.055 -1.563
-3.621 -1.791 4.453
2.579 5.547 2.761
Li O Hf
5 4 1
Cartesian
-0.806 4.144 1.009
-2.680 0.667 4.641
-3.033 -0.368 1.445
-0.588 1.466 1.909
-2.898 3.345 3.741
-1.048 2.350 0.177
-2.613 5.242 4.576
-2.438 2.462 5.474
-0.873 -0.430 1.075
-1.222 0.528 -0.782
```



## x
Computed, not measured: an optimized crystal structure of Li5HfO4 at the PBE-GGA level of DFT.

Calculated values
**Mass density**: 3.41 g/cm3
**Crystal system**: orthorhombic
**Total moment**: 1.76 Bohr magnetons per cell

Structure (POSCAR):
```
Li5HfO4
1.0
5.137 0.000 0.000
0.000 8.710 0.000
0.000 0.000 6.036
Li O Hf
10 8 2
Cartesian
2.015 0.000 3.018
0.867 2.990 4.595
4.269 7.345 4.459
4.269 7.345 1.577
4.269 1.365 1.577
0.867 2.990 1.441
3.122 4.355 0.000
0.867 5.720 4.595
0.867 5.720 1.441
4.269 1.365 4.459
4.652 2.712 3.018
0.484 7.067 0.000
2.201 4.355 1.563
4.652 5.998 3.018
2.201 4.355 4.473
2.935 0.000 1.455
0.484 1.643 0.000
2.935 0.000 4.581
3.515 4.355 3.018
1.622 0.000 0.000
```



Most stable to least stable: w, x



## w
Computed, not measured: an optimized crystal structure of Li3HfO at the PBE-GGA level of DFT.

Calculated values
**Mass density**: 2.26 g/cm3
**Crystal system**: cubic
**Total moment**: 3.00 Bohr magnetons per cell

Structure (POSCAR):
```
Li3HfO
1.0
-5.032 1.519 -1.266
-1.914 -2.877 4.158
0.494 4.318 3.215
Li O Hf
3 1 1
Cartesian
-2.516 0.759 -0.633
-0.957 -1.438 2.079
0.247 2.159 1.607
-3.226 1.480 3.054
0.000 0.000 0.000
```



## x
Computed, not measured: an optimized crystal structure of Li3HfO at the PBE-GGA level of DFT.

Calculated values
**Mass density**: 5.25 g/cm3
**Crystal system**: cubic
**Total moment**: 0.81 Bohr magnetons per cell

Structure (POSCAR):
```
Li3HfO
1.0
-1.280 -2.046 3.294
3.801 0.022 1.491
-0.765 3.534 1.898
Li Hf O
3 1 1
Cartesian
-0.383 1.767 0.949
1.901 0.011 0.746
-0.640 -1.023 1.647
0.878 0.755 3.341
0.000 0.000 0.000
```



Most stable to least stable: x, w



## w
Computed, not measured: an optimized crystal structure of LiHfP2O at the PBE-GGA level of DFT.

Calculated values
**Mass density**: 6.27 g/cm3
**Crystal system**: tetragonal
**Total moment**: 0.00 Bohr magnetons per cell

Structure (POSCAR):
```
LiHfP2O
1.0
-0.334 4.158 1.610
-1.417 -1.630 3.915
3.302 -0.170 1.125
Li P Hf O
1 2 1 1
Cartesian
0.000 0.000 0.000
-0.709 -0.815 1.957
-0.167 2.079 0.805
0.775 1.179 3.325
1.651 -0.085 0.562
```



## x
Computed, not measured: an optimized crystal structure of LiHfP2O at the PBE-GGA level of DFT.

Calculated values
**Mass density**: 4.08 g/cm3
**Crystal system**: tetragonal
**Total moment**: 1.97 Bohr magnetons per cell

Structure (POSCAR):
```
LiHfP2O
1.0
5.189 0.000 0.000
0.000 5.189 0.000
0.000 0.000 3.985
Hf P Li O
1 2 1 1
Cartesian
0.000 0.000 0.000
2.594 0.000 0.000
0.000 2.594 0.000
2.594 2.594 1.992
0.000 0.000 1.992
```



Most stable to least stable: x, w



## w
Computed, not measured: an optimized crystal structure of Li2HfSnO at the PBE-GGA level of DFT.

Calculated values
**Mass density**: 7.24 g/cm3
**Crystal system**: tetragonal
**Total moment**: 0.00 Bohr magnetons per cell

Structure (POSCAR):
```
Li2HfSnO
1.0
4.178 0.000 0.000
0.000 4.178 0.000
0.000 0.000 4.296
Li Sn Hf O
2 1 1 1
Cartesian
2.089 0.000 0.000
0.000 2.089 0.000
2.089 2.089 2.148
0.000 0.000 2.148
0.000 0.000 0.000
```



## x
Computed, not measured: an optimized crystal structure of Li2HfSnO at the PBE-GGA level of DFT.

Calculated values
**Mass density**: 5.15 g/cm3
**Crystal system**: tetragonal
**Total moment**: 1.10 Bohr magnetons per cell

Structure (POSCAR):
```
Li2HfSnO
1.0
5.038 0.000 0.000
0.000 4.155 0.000
0.000 0.000 5.038
Li Sn Hf O
2 1 1 1
Cartesian
0.000 0.000 2.519
2.519 0.000 0.000
0.000 0.000 0.000
2.519 2.078 2.519
0.000 2.078 0.000
```



Most stable to least stable: w, x